Compound: Na5Tl2Pb5
Source: Alexandria via LeMat-Bulk
Functional: PBE
Structure: optimized geometry

Cell and atoms, written as POSCAR:
```
Na5Tl2Pb5
1.0
5.1079 0.0000 1.4441
2.0169 8.1940 2.6217
0.3180 0.5890 8.6306
Pb Tl Na
5 2 5
direct
0.2524 0.7503 0.7450
0.9184 0.7536 0.4095
0.0816 0.2464 0.5905
0.7476 0.2497 0.2550
0.0000 0.0000 0.0000
0.8364 0.5024 0.8247
0.1636 0.4976 0.1753
0.4091 0.2586 0.9231
0.3332 0.0003 0.3332
0.5000 0.5000 0.5000
0.6668 0.9997 0.6668
0.5909 0.7414 0.0769
```

DFT total energy	-2.597	eV per atom